Record 1
The following is a GGA-PBE calculation of an optimized crystal structure of PmNd4Ni2, from the Alexandria database.

Output
Spin magnetization = 0.0 μB per formula unit
DFT total energy = -35.91 eV/f.u.

Unit cell a=7.5801 b=6.7134 c=8.2749 alpha=90.00 beta=113.61 gamma=90.00
Space group P2_1/m (No. 11)
Symmetry-distinct sites (fractional):
Pm: 0.1405 0.2500 0.0269 [2 per cell]
Nd: 0.0234 0.2500 0.3803 [2 per cell]
Nd: 0.2566 0.7500 0.3555 [2 per cell]
Nd: 0.4093 0.0101 0.7699 [4 per cell]
Ni: 0.2559 0.7500 0.9966 [2 per cell]
Ni: 0.3766 0.2500 0.3932 [2 per cell]

***

Record 2
The following is a GGA-PBE calculation of an optimized crystal structure of PmNd4Ni4, from the Alexandria database.

Output
Spin magnetization = 0.0 μB per formula unit
DFT total energy = -48.53 eV/f.u.

Unit cell a=8.6212 b=8.6212 c=5.9503 alpha=90.00 beta=90.00 gamma=90.00
Space group P4_2/n (No. 86, origin choice 2)
Symmetry-distinct sites (fractional):
Pm: 0.2500 0.2500 0.2500 [2 per cell]
Nd: 0.0586 0.6651 0.1508 [8 per cell]
Ni: 0.0241 0.6172 0.6294 [8 per cell]

***

Record 3
The following is a GGA-PBE calculation of an optimized crystal structure of PmNdNi2, from the Alexandria database.

Output
Spin magnetization = 0.0 μB per formula unit
DFT total energy = -22.43 eV/f.u.

Unit cell a=3.8393 b=4.2988 c=5.6071 alpha=90.00 beta=109.87 gamma=90.00
Space group Pm (No. 6)
Symmetry-distinct sites (fractional):
Pm: 0.0000 0.0000 0.0000 [1 per cell]
Nd: 0.7245 0.5000 0.4488 [1 per cell]
Ni: 0.2928 0.0000 0.5843 [1 per cell]
Ni: 0.4337 0.5000 0.8688 [1 per cell]

***

Record 4
The following is a GGA-PBE calculation of an optimized crystal structure of Pm2NdNi, from the Alexandria database.

Output
Spin magnetization = 0.0 μB per formula unit
DFT total energy = -20.78 eV/f.u.

Unit cell a=7.0303 b=9.9319 c=6.5003 alpha=90.00 beta=90.00 gamma=90.00
Space group Pnma (No. 62)
Symmetry-distinct sites (fractional):
Pm: 0.1766 0.0667 0.1741 [8 per cell]
Nd: 0.0344 0.2500 0.6436 [4 per cell]
Ni: 0.1125 0.7500 0.9315 [4 per cell]

***

Record 5
The following is a GGA-PBE calculation of an optimized crystal structure of PmNd2Ni, from the Alexandria database.

Output
Spin magnetization = 0.0 μB per formula unit
DFT total energy = -20.26 eV/f.u.

Unit cell a=3.8800 b=3.8800 c=27.8841 alpha=90.00 beta=90.00 gamma=120.00
Space group R3m (No. 160, hexagonal axes)
Symmetry-distinct sites (fractional):
Pm: 0.0000 0.0000 0.0000 [3 per cell]
Nd: 0.0000 0.0000 0.2272 [3 per cell]
Nd: 0.0000 0.0000 0.4406 [3 per cell]
Ni: 0.0000 0.0000 0.8343 [3 per cell]

***

Record 6
The following is a GGA-PBE calculation of an optimized crystal structure of PmNd3Ni, from the Alexandria database.

Output
Spin magnetization = 0.0 μB per formula unit
DFT total energy = -25.43 eV/f.u.

Unit cell a=12.2245 b=3.7681 c=14.1753 alpha=90.00 beta=113.77 gamma=90.00
Space group Cm (No. 8)
Symmetry-distinct sites (fractional):
Pm: 0.0000 0.0000 0.0000 [2 per cell]
Pm: 0.1169 0.0000 0.2751 [2 per cell]
Nd: 0.1118 0.0000 0.6252 [2 per cell]
Nd: 0.2299 0.0000 0.9030 [2 per cell]
Nd: 0.2829 0.5000 0.1447 [2 per cell]
Nd: 0.2865 0.5000 0.5150 [2 per cell]
Nd: 0.4427 0.0000 0.3856 [2 per cell]
Nd: 0.4461 0.0000 0.7576 [2 per cell]
Ni: 0.2669 0.5000 0.7692 [2 per cell]
Ni: 0.4642 0.0000 0.1329 [2 per cell]

***

Record 7
The following is a GGA-PBE calculation of an optimized crystal structure of Pm2Nd2Ni, from the Alexandria database.

Output
Spin magnetization = 0.0 μB per formula unit
DFT total energy = -25.17 eV/f.u.

Unit cell a=7.7344 b=11.7574 c=7.4267 alpha=90.00 beta=115.00 gamma=90.00
Space group C2/m (No. 12)
Symmetry-distinct sites (fractional):
Pm: 0.0394 0.2253 0.2598 [8 per cell]
Nd: 0.2324 0.5000 0.8909 [4 per cell]
Nd: 0.2415 0.0000 0.6160 [4 per cell]
Ni: 0.0000 0.3891 0.5000 [4 per cell]

***

Record 8
The following is a GGA-PBE calculation of an optimized crystal structure of Pm12NdNi6, from the Alexandria database.

Output
Spin magnetization = 0.0 μB per formula unit
DFT total energy = -100.00 eV/f.u.

Unit cell a=10.0995 b=10.0995 c=10.0995 alpha=90.00 beta=90.00 gamma=90.00
Space group Im-3 (No. 204)
Symmetry-distinct sites (fractional):
Pm: 0.0000 0.3120 0.1849 [24 per cell]
Nd: 0.0000 0.0000 0.0000 [2 per cell]
Ni: 0.0000 0.1217 0.5000 [12 per cell]

***

| no. | energy of formation (eV per atom) |
| --- | --- |
| 1 | -0.0746 |
| 2 | -0.1753 |
| 3 | -0.3365 |
| 4 | -0.1813 |
| 5 | -0.0474 |
| 6 | -0.1191 |
| 7 | -0.0713 |
| 8 | -0.1862 |